DFT (PBE) results for a relaxed PrEr2Sc crystal.

Lattice parameters (Å, degrees): 5.575 5.575 5.575 60.00 60.00 60.00
Fractional coordinates of all 4 atoms:
Pr 0.000 0.000 0.000
Sc 0.500 0.500 0.500
Er 0.250 0.250 0.250
Er 0.750 0.750 0.750

Values from the calculation:
Raw total energy, eV/atom: -4.907